Cd2RuPb PBE relaxed; space group = Pmm2
1.0
3.350 0.000 0.000
0.000 4.673 0.000
0.000 0.000 5.354
Cd Ru Pb
2 1 1
Direct
0.000 0.000 0.000 Cd
0.000 0.500 0.313 Cd
0.500 0.000 0.474 Ru
0.500 0.500 0.776 Pb

---

CdRuPb2 PBE relaxed; space group = R3m
1.0
3.282 0.000 0.000
-1.641 2.842 0.000
0.000 0.000 31.172
Cd Ru Pb
3 3 6
Direct
0.000 0.000 0.000 Cd
0.333 0.667 0.667 Cd
0.667 0.333 0.333 Cd
0.000 0.000 0.266 Ru
0.333 0.667 0.933 Ru
0.667 0.333 0.599 Ru
0.000 0.000 0.533 Pb
0.000 0.000 0.757 Pb
0.333 0.667 0.200 Pb
0.333 0.667 0.424 Pb
0.667 0.333 0.091 Pb
0.667 0.333 0.866 Pb

---

CdRuPb2 PBE relaxed; space group = P4mm
1.0
3.295 0.000 0.000
0.000 3.295 0.000
0.000 0.000 8.701
Cd Ru Pb
1 1 2
Direct
0.000 0.000 0.000 Cd
0.500 0.500 0.810 Ru
0.000 0.000 0.619 Pb
0.500 0.500 0.282 Pb

---

Cd2RuPb PBE relaxed; space group = Imm2
1.0
3.111 0.000 0.000
0.000 4.635 0.000
0.000 0.000 13.084
Cd Ru Pb
4 2 2
Direct
0.000 0.000 0.000 Cd
0.000 0.500 0.164 Cd
0.500 0.000 0.664 Cd
0.500 0.500 0.500 Cd
0.000 0.000 0.487 Ru
0.500 0.500 0.987 Ru
0.000 0.500 0.809 Pb
0.500 0.000 0.309 Pb

---

Cd2RuPb PBE relaxed; space group = R-3m
1.0
3.155 0.000 0.000
-1.577 2.732 0.000
0.000 0.000 30.477
Cd Ru Pb
6 3 3
Direct
0.000 0.000 0.237 Cd
0.000 0.000 0.763 Cd
0.333 0.667 0.429 Cd
0.333 0.667 0.904 Cd
0.667 0.333 0.096 Cd
0.667 0.333 0.571 Cd
0.000 0.000 0.500 Ru
0.333 0.667 0.167 Ru
0.667 0.333 0.833 Ru
0.000 0.000 0.000 Pb
0.333 0.667 0.667 Pb
0.667 0.333 0.333 Pb

---

CdRuPb2 PBE relaxed; space group = R-3m
1.0
3.419 0.000 0.000
-1.709 2.961 0.000
0.000 0.000 28.663
Cd Ru Pb
3 3 6
Direct
0.000 0.000 0.000 Cd
0.333 0.667 0.667 Cd
0.667 0.333 0.333 Cd
0.000 0.000 0.500 Ru
0.333 0.667 0.167 Ru
0.667 0.333 0.833 Ru
0.000 0.000 0.237 Pb
0.000 0.000 0.763 Pb
0.333 0.667 0.430 Pb
0.333 0.667 0.903 Pb
0.667 0.333 0.097 Pb
0.667 0.333 0.570 Pb

---

CdRuPb2 PBE relaxed; space group = I4_1/amd
1.0
10.069 0.000 0.000
0.000 10.069 0.000
0.000 0.000 5.464
Cd Ru Pb
4 4 8
Direct
0.000 0.250 0.375 Cd
0.000 0.750 0.625 Cd
0.500 0.250 0.125 Cd
0.500 0.750 0.875 Cd
0.000 0.250 0.875 Ru
0.000 0.750 0.125 Ru
0.500 0.250 0.625 Ru
0.500 0.750 0.375 Ru
0.000 0.000 0.000 Pb
0.000 0.500 0.000 Pb
0.250 0.250 0.750 Pb
0.250 0.750 0.250 Pb
0.500 0.000 0.500 Pb
0.500 0.500 0.500 Pb
0.750 0.250 0.750 Pb
0.750 0.750 0.250 Pb

---

CdRuPb2 PBE relaxed; space group = F-43m
1.0
7.168 0.000 0.000
0.000 7.168 0.000
0.000 0.000 7.168
Cd Ru Pb
4 4 8
Direct
0.000 0.000 0.000 Cd
0.000 0.500 0.500 Cd
0.500 0.000 0.500 Cd
0.500 0.500 0.000 Cd
0.250 0.250 0.250 Ru
0.250 0.750 0.750 Ru
0.750 0.250 0.750 Ru
0.750 0.750 0.250 Ru
0.000 0.000 0.500 Pb
0.000 0.500 0.000 Pb
0.250 0.250 0.750 Pb
0.250 0.750 0.250 Pb
0.500 0.000 0.000 Pb
0.500 0.500 0.500 Pb
0.750 0.250 0.250 Pb
0.750 0.750 0.750 Pb

---

Record-wise DFT total energy values, in eV/atom: -3.318; -4.058; -4.106; -3.459; -3.332; -4.103; -4.127; -3.812
Record-wise E_form values, in eV/f.u.: 1.54; 1.38; 1.19; 0.98; 1.49; 1.19; 1.10; 2.36